Here is a relaxed structure of Li3CrO4 from Alexandria. Energies are from PBE+U.

Lattice parameters (Å, degrees): 5.885 8.018 2.912 90.00 90.00 90.00
Space group Cmmm (No. 65)
Unique sites:
1 Li 0.000 0.000 0.000 [2 per cell]
2 Li 0.250 0.250 0.500 [4 per cell]
3 Cr 0.000 0.500 0.000 [2 per cell]
4 O 0.000 0.277 0.000 [4 per cell]
5 O 0.227 0.500 0.500 [4 per cell]

Summary:
- Offset from the most stable computed form: 84 meV/atom
- M_tot: 1.94 Bohr magnetons per cell
- Crystal system: orthorhombic